This record from the Alexandria database describes a geometry-optimized Mg2FeWO6 structure. The functional is PBE+U.

```
10
Lattice="5.219 0.000 0.000 -2.579 4.547 0.000 -0.102 -2.969 4.713" Properties=species:S:1:pos:R:3 pbc="T T T"
Mg 0.000 0.000 0.000
Mg -0.013 3.055 2.318
Fe -0.052 0.054 2.986
W 2.606 1.524 0.489
O -1.881 3.030 1.431
O -0.827 1.780 3.928
O 0.938 1.429 1.437
O 1.762 -0.116 3.890
O 3.550 0.153 1.474
O 4.025 -1.462 3.905
```

Computed properties:
Raw total energy, eV per atom: -6.78
Total magnetic moment, μB per cell: 4.0
Energy above the most stable polymorph in this dataset, eV/atom: 0.000